Arrangement a

A relaxed SrTc2H2 crystal. Source: Alexandria, functional PBE-GGA.

Calculated values
The density of states at the Fermi level comes out at 3.7 states/eV/f.u. The space-group type is I4/mmm, No. 139. The value obtained for the magnetization is 0.0 μB/cell.

Lattice parameters (Å, degrees): 3.6724 3.6724 6.0694 72.39 72.39 90.00
Atoms (fractional coordinates):
H (0.3315, 0.3315, 0.3370)
H (0.6685, 0.6685, 0.6630)
Sr (0.0000, 0.0000, 0.0000)
Tc (0.7500, 0.2500, 0.5000)
Tc (0.2500, 0.7500, 0.5000)

Arrangement b

A relaxed SrTc2H2 crystal. Source: Alexandria, functional PBE-GGA.

Calculated values
The density of states at the Fermi level comes out at 2.7 states/eV/f.u. The space-group type is P4/mbm, No. 127. The value obtained for the magnetization is 0.0 μB/cell.

Lattice parameters (Å, degrees): 7.2062 7.2062 2.8739 90.00 90.00 90.00
Atoms (fractional coordinates):
Tc (0.1099, 0.6099, 0.5000)
Tc (0.8901, 0.3901, 0.5000)
Tc (0.3901, 0.1099, 0.5000)
Tc (0.6099, 0.8901, 0.5000)
H (0.6023, 0.1023, 0.0000)
H (0.8977, 0.6023, 0.0000)
H (0.3977, 0.8977, 0.0000)
H (0.1023, 0.3977, 0.0000)
Sr (0.5000, 0.5000, 0.0000)
Sr (0.0000, 0.0000, 0.0000)

Question: which arrangement is favored energetically? Ranking from most to least stable: arrangement a, arrangement b.

Arrangement a

A relaxed SrTc2H crystal. Source: Alexandria, functional PBE-GGA.

Calculated values
The density of states at the Fermi level comes out at 5.6 states/eV/f.u. The space-group type is I4_1/amd, No. 141. The value obtained for the magnetization is 0.0 μB/cell.

Lattice parameters (Å, degrees): 5.5603 5.5603 5.8674 61.72 61.72 90.00
Atoms (fractional coordinates):
H (0.2500, 0.7500, 0.5000)
H (0.5000, 0.5000, 0.0000)
Sr (0.0000, 0.0000, 0.0000)
Sr (0.7500, 0.2500, 0.5000)
Tc (0.3750, 0.6250, 0.7500)
Tc (0.3750, 0.6250, 0.2500)
Tc (0.8750, 0.6250, 0.7500)
Tc (0.3750, 0.1250, 0.2500)

Arrangement b

A relaxed SrTc2H crystal. Source: Alexandria, functional PBE-GGA.

Calculated values
The density of states at the Fermi level comes out at 5.1 states/eV/f.u. The space-group type is Fm-3m, No. 225. The value obtained for the magnetization is 4.3 μB/cell.

Lattice parameters (Å, degrees): 4.6553 4.6553 4.6553 60.00 60.00 60.00
Atoms (fractional coordinates):
Tc (0.2500, 0.2500, 0.2500)
Tc (0.7500, 0.7500, 0.7500)
H (0.0000, 0.0000, 0.0000)
Sr (0.5000, 0.5000, 0.5000)

Question: which arrangement is favored energetically? Ranking from most to least stable: arrangement a, arrangement b.

Arrangement a

A relaxed Sr2TeH2 crystal. Source: Alexandria, functional PBE-GGA.

Calculated values
The density of states at the Fermi level comes out at 0.6 states/eV/f.u. The space-group type is P4/mbm, No. 127. The value obtained for the magnetization is 0.0 μB/cell.

Lattice parameters (Å, degrees): 7.7922 7.7922 3.6388 90.00 90.00 90.00
Atoms (fractional coordinates):
Te (0.5000, 0.5000, 0.0000)
Te (0.0000, 0.0000, 0.0000)
Sr (0.6654, 0.8346, 0.5000)
Sr (0.3346, 0.1654, 0.5000)
Sr (0.8346, 0.3346, 0.5000)
Sr (0.1654, 0.6654, 0.5000)
H (0.6049, 0.1049, 0.0000)
H (0.1049, 0.3951, 0.0000)
H (0.3951, 0.8951, 0.0000)
H (0.8951, 0.6049, 0.0000)

Arrangement b

A relaxed Sr2TeH2 crystal. Source: Alexandria, functional PBE-GGA.

Calculated values
The density of states at the Fermi level comes out at 0.0 states/eV/f.u. The space-group type is I4/mmm, No. 139. The value obtained for the magnetization is 0.0 μB/cell.

Lattice parameters (Å, degrees): 4.1689 4.1689 7.1437 73.03 73.03 90.00
Atoms (fractional coordinates):
H (0.2500, 0.7500, 0.5000)
H (0.7500, 0.2500, 0.5000)
Sr (0.3537, 0.3537, 0.2925)
Sr (0.6463, 0.6463, 0.7075)
Te (0.0000, 0.0000, 0.0000)

Question: which arrangement is favored energetically? Ranking from most to least stable: arrangement b, arrangement a.

Arrangement a

A relaxed SrTiH2 crystal. Source: Alexandria, functional PBE-GGA.

Calculated values
The density of states at the Fermi level comes out at 1.8 states/eV/f.u. The space-group type is I-42d, No. 122. The value obtained for the magnetization is 2.3 μB/cell.

Lattice parameters (Å, degrees): 5.4464 5.4464 5.6287 61.07 61.07 90.00
Atoms (fractional coordinates):
Sr (0.0000, 0.0000, 0.0000)
Sr (0.7500, 0.2500, 0.5000)
Ti (0.2500, 0.7500, 0.5000)
Ti (0.5000, 0.5000, 0.0000)
H (0.2198, 0.6250, 0.2500)
H (0.5302, 0.1250, 0.2500)
H (0.8750, 0.7802, 0.7500)
H (0.3750, 0.4698, 0.7500)

Arrangement b

A relaxed SrTiH2 crystal. Source: Alexandria, functional PBE-GGA.

Calculated values
The density of states at the Fermi level comes out at 2.5 states/eV/f.u. The space-group type is Fm-3m, No. 225. The value obtained for the magnetization is 3.3 μB/cell.

Lattice parameters (Å, degrees): 4.4352 4.4352 4.4352 60.00 60.00 60.00
Atoms (fractional coordinates):
H (0.2500, 0.2500, 0.2500)
H (0.7500, 0.7500, 0.7500)
Ti (0.0000, 0.0000, 0.0000)
Sr (0.5000, 0.5000, 0.5000)

Question: which arrangement is favored energetically? Ranking from most to least stable: arrangement a, arrangement b.

Arrangement a

A relaxed SrTi2H crystal. Source: Alexandria, functional PBE-GGA.

Calculated values
The density of states at the Fermi level comes out at 5.3 states/eV/f.u. The space-group type is Fd-3m, No. 227. The value obtained for the magnetization is 7.8 μB/cell.

Lattice parameters (Å, degrees): 6.1788 6.1788 6.1806 60.01 60.01 90.00
Atoms (fractional coordinates):
Ti (0.3751, 0.1250, 0.2500)
Ti (0.3750, 0.6249, 0.7500)
Ti (0.8750, 0.6251, 0.7500)
Ti (0.3749, 0.6250, 0.2500)
Sr (0.7500, 0.2500, 0.5000)
Sr (0.0000, 0.0000, 0.0000)
H (0.5000, 0.5000, 0.0000)
H (0.2500, 0.7500, 0.5000)

Arrangement b

A relaxed SrTi2H crystal. Source: Alexandria, functional PBE-GGA.

Calculated values
The density of states at the Fermi level comes out at 7.0 states/eV/f.u. The space-group type is Fm-3m, No. 225. The value obtained for the magnetization is 1.3 μB/cell.

Lattice parameters (Å, degrees): 4.8219 4.8219 4.8219 60.00 60.00 60.00
Atoms (fractional coordinates):
H (0.0000, 0.0000, 0.0000)
Ti (0.2500, 0.2500, 0.2500)
Ti (0.7500, 0.7500, 0.7500)
Sr (0.5000, 0.5000, 0.5000)

Question: which arrangement is favored energetically? Ranking from most to least stable: arrangement a, arrangement b.

Arrangement a

A relaxed SrTl2H crystal. Source: Alexandria, functional PBE-GGA.

Calculated values
The density of states at the Fermi level comes out at 3.0 states/eV/f.u. The space-group type is Fm-3m, No. 225. The value obtained for the magnetization is 0.0 μB/cell.

Lattice parameters (Å, degrees): 5.3974 5.3974 5.3974 60.00 60.00 60.00
Atoms (fractional coordinates):
Sr (0.5000, 0.5000, 0.5000)
Tl (0.7500, 0.7500, 0.7500)
Tl (0.2500, 0.2500, 0.2500)
H (0.0000, 0.0000, 0.0000)

Arrangement b

A relaxed SrTl2H crystal. Source: Alexandria, functional PBE-GGA.

Calculated values
The density of states at the Fermi level comes out at 1.9 states/eV/f.u. The space-group type is I-42d, No. 122. The value obtained for the magnetization is 0.0 μB/cell.

Lattice parameters (Å, degrees): 7.0467 7.0467 6.7591 58.58 58.58 90.00
Atoms (fractional coordinates):
Sr (0.7500, 0.2500, 0.5000)
Sr (0.0000, 0.0000, 0.0000)
Tl (0.3750, 0.5163, 0.7500)
Tl (0.8750, 0.7337, 0.7500)
Tl (0.2663, 0.6250, 0.2500)
Tl (0.4837, 0.1250, 0.2500)
H (0.5000, 0.5000, 0.0000)
H (0.2500, 0.7500, 0.5000)

Question: which arrangement is favored energetically? Ranking from most to least stable: arrangement b, arrangement a.